NaHgF, relaxed, DFT PBE-GGA; DFT total energy = -2.83 eV/atom; symmetry = I4mm, No. 107; energy above the lowest structure with this stoichiometry = 0.0000 eV/atom; raw formation energy = -1671 meV/atom; total magnetic moment = 0.0 μB/cell
1.0
3.2024 0.0000 0.0000
0.0000 3.2024 0.0000
0.0000 0.0000 13.0748
Na Hg F
2 2 2
direct
0.0000 0.0000 0.0000
0.5000 0.5000 0.5000
0.0000 0.0000 0.2610
0.5000 0.5000 0.7610
0.0000 0.0000 0.4951
0.5000 0.5000 0.9951

Na3HgF, relaxed, DFT PBE-GGA; DFT total energy = -2.34 eV/atom; symmetry = Pm-3m, No. 221; energy above the lowest structure with this stoichiometry = 0.0000 eV/atom; raw formation energy = -1109 meV/atom; total magnetic moment = 0.0 μB/cell
1.0
4.7852 0.0000 0.0000
0.0000 4.7852 0.0000
0.0000 0.0000 4.7852
Na Hg F
3 1 1
direct
0.0000 0.0000 0.5000
0.0000 0.5000 0.0000
0.5000 0.0000 0.0000
0.5000 0.5000 0.5000
0.0000 0.0000 0.0000

NaHg2F8, relaxed, DFT PBE-GGA; DFT total energy = -2.86 eV/atom; symmetry = P-1, No. 2; energy above the lowest structure with this stoichiometry = 0.0000 eV/atom; raw formation energy = -1324 meV/atom; total magnetic moment = 1.0 μB/cell
1.0
5.1023 0.0000 0.0000
0.4040 6.1776 0.0000
0.4058 2.1698 5.7948
Na Hg F
1 2 8
direct
0.0000 0.0000 0.0000
0.2585 0.3576 0.3582
0.7415 0.6424 0.6418
0.2442 0.5596 0.5606
0.2466 0.0722 0.6451
0.2472 0.6453 0.0736
0.2778 0.1602 0.1605
0.7222 0.8398 0.8395
0.7528 0.3547 0.9264
0.7534 0.9278 0.3549
0.7558 0.4404 0.4394

Na2HgF2, relaxed, DFT PBE-GGA; DFT total energy = -3.18 eV/atom; symmetry = P4/mbm, No. 127; energy above the lowest structure with this stoichiometry = 0.1812 eV/atom; raw formation energy = -1846 meV/atom; total magnetic moment = 0.0 μB/cell
1.0
7.3544 0.0000 0.0000
0.0000 7.3544 0.0000
0.0000 0.0000 3.1234
Na Hg F
4 2 4
direct
0.1313 0.3687 0.0000
0.3687 0.8687 0.0000
0.6313 0.1313 0.0000
0.8687 0.6313 0.0000
0.0000 0.0000 0.5000
0.5000 0.5000 0.5000
0.1305 0.6305 0.5000
0.3695 0.1305 0.5000
0.6305 0.8695 0.5000
0.8695 0.3695 0.5000

Na4Hg2F9, relaxed, DFT PBE-GGA; DFT total energy = -3.57 eV/atom; symmetry = P-1, No. 2; raw formation energy = -2056 meV/atom; total magnetic moment = 2.2 μB/cell
1.0
5.8377 0.0000 0.0000
2.9133 5.1078 0.0000
0.0150 0.3098 15.4994
Na Hg F
8 4 18
direct
0.1611 0.1712 0.3125
0.1617 0.1662 0.0190
0.1681 0.1717 0.8124
0.1731 0.1652 0.5191
0.8269 0.8348 0.4809
0.8319 0.8283 0.1876
0.8383 0.8338 0.9810
0.8389 0.8288 0.6875
0.4906 0.5106 0.3593
0.5000 0.4891 0.1404
0.5000 0.5109 0.8596
0.5094 0.4894 0.6407
0.1284 0.5322 0.0857
0.1558 0.8114 0.5813
0.1600 0.8790 0.9138
0.1637 0.4686 0.4149
0.2024 0.7867 0.2584
0.2220 0.4997 0.7491
0.4603 0.8804 0.4138
0.4682 0.1888 0.9189
0.4890 0.2125 0.2410
0.5110 0.7875 0.7590
0.5318 0.8112 0.0811
0.5397 0.1196 0.5862
0.7780 0.5003 0.2509
0.7976 0.2133 0.7416
0.8363 0.5314 0.5851
0.8400 0.1210 0.0862
0.8442 0.1886 0.4187
0.8716 0.4678 0.9143

Na3HgF6, relaxed, DFT PBE-GGA; DFT total energy = -3.66 eV/atom; symmetry = R3, No. 146; energy above the lowest structure with this stoichiometry = 0.0000 eV/atom; raw formation energy = -2110 meV/atom; total magnetic moment = 1.0 μB/cell
1.0
2.9186 1.6851 5.1537
-2.9186 1.6851 5.1537
0.0000 -3.3701 5.1537
Na Hg F
3 1 6
direct
0.0000 0.0000 0.0000
0.2093 0.2093 0.2093
0.7142 0.7142 0.7142
0.5071 0.5071 0.5071
0.1272 0.3965 0.7891
0.3070 0.8911 0.6070
0.3965 0.7891 0.1272
0.6070 0.3070 0.8911
0.7891 0.1272 0.3965
0.8911 0.6070 0.3070

Na2HgF4, relaxed, DFT PBE-GGA; DFT total energy = -3.50 eV/atom; symmetry = I4/mmm, No. 139; energy above the lowest structure with this stoichiometry = 0.1624 eV/atom; raw formation energy = -2013 meV/atom; total magnetic moment = 0.0 μB/cell
1.0
4.6241 0.0000 0.0000
0.0000 4.6241 0.0000
0.0000 0.0000 12.0249
Na Hg F
4 2 8
direct
0.0000 0.0000 0.1374
0.0000 0.0000 0.8626
0.5000 0.5000 0.3626
0.5000 0.5000 0.6374
0.0000 0.0000 0.5000
0.5000 0.5000 0.0000
0.0000 0.0000 0.3147
0.0000 0.0000 0.6853
0.0000 0.5000 0.0000
0.0000 0.5000 0.5000
0.5000 0.0000 0.0000
0.5000 0.0000 0.5000
0.5000 0.5000 0.1853
0.5000 0.5000 0.8147

NaHg2F5, relaxed, DFT PBE-GGA; DFT total energy = -3.13 eV/atom; symmetry = C2/c, No. 15; energy above the lowest structure with this stoichiometry = 0.0343 eV/atom; raw formation energy = -1720 meV/atom; total magnetic moment = 0.0 μB/cell
1.0
5.0535 -4.4717 0.0000
5.0535 4.4717 0.0000
-5.0165 0.0000 7.3450
Na Hg F
2 4 10
direct
0.1243 0.8757 0.7500
0.8757 0.1243 0.2500
0.0000 0.5000 0.0000
0.5000 0.0000 0.5000
0.5000 0.5000 0.0000
0.5000 0.5000 0.5000
0.1889 0.2354 0.9021
0.2131 0.6667 0.9018
0.2354 0.1889 0.4021
0.3333 0.7869 0.5982
0.3747 0.6253 0.2500
0.6253 0.3747 0.7500
0.6667 0.2131 0.4018
0.7646 0.8111 0.5979
0.7869 0.3333 0.0982
0.8111 0.7646 0.0979